DFT (PBE) results for an optimized crystal structure of Tb2Nd2YTm2.

## Properties
total magnetic moment: 0.00 μB/f.u.
DOS(E_F): 11.3 states/eV/cell
ΔE_f: 0.09 eV/atom

The structure in POSCAR format:
```
Tb2Nd2YTm2
1.0
5.861 -1.762 0.000
5.861 1.762 0.000
-3.920 0.000 11.172
Tb Nd Y Tm
2 2 1 2
Direct
0.051 0.051 0.269 Tb
0.949 0.949 0.731 Tb
0.170 0.170 0.585 Nd
0.830 0.830 0.415 Nd
0.500 0.500 0.000 Y
0.274 0.274 0.136 Tm
0.726 0.726 0.864 Tm
```